[1]
# Rb2ScAsI6 (GGA-PBE, optimized geometry)
# Crystal system   tetragonal
# Formation energy from raw total energies   -20.4 kcal/mol of atoms
# Total magnetization   0.000 μB/cell
data_Rb2ScAsI6
_cell_length_a 8.1527
_cell_length_b 8.1527
_cell_length_c 8.8934
_cell_angle_alpha 62.72
_cell_angle_beta 62.72
_cell_angle_gamma 90.00
_space_group_name_H-M_alt 'P 1'
_space_group_IT_number 1
_space_group_name_Hall 'P 1'
loop_
_atom_site_label
_atom_site_type_symbol
_atom_site_fract_x
_atom_site_fract_y
_atom_site_fract_z
_atom_site_occupancy
I1 I 0.2479 0.2479 0.0000 1
I2 I 0.7521 0.2479 0.0000 1
I3 I 0.7138 0.7138 0.5723 1
I4 I 0.2479 0.7521 0.0000 1
I5 I 0.2862 0.2862 0.4277 1
I6 I 0.7521 0.7521 0.0000 1
Rb1 Rb 0.7500 0.2500 0.5000 1
Rb2 Rb 0.2500 0.7500 0.5000 1
Sc1 Sc 0.5000 0.5000 0.0000 1
As1 As 0.0000 0.0000 0.0000 1

***

[2]
# Ce3ErTh4Se8 (GGA-PBE, optimized geometry)
# Crystal system   trigonal
# Formation energy from raw total energies   -38.5 kcal/mol of atoms
# Total magnetization   2.644 μB/cell
data_Ce3ErTh4Se8
_cell_length_a 8.2546
_cell_length_b 8.4674
_cell_length_c 8.2531
_cell_angle_alpha 119.16
_cell_angle_beta 120.01
_cell_angle_gamma 90.00
_space_group_name_H-M_alt 'P 1'
_space_group_IT_number 1
_space_group_name_Hall 'P 1'
loop_
_atom_site_label
_atom_site_type_symbol
_atom_site_fract_x
_atom_site_fract_y
_atom_site_fract_z
_atom_site_occupancy
Er1 Er 0.0000 0.5000 0.0000 1
Ce1 Ce 0.0000 0.5000 0.5000 1
Ce2 Ce 0.5000 0.5000 0.0000 1
Ce3 Ce 0.5000 0.5000 0.5000 1
Th1 Th 0.0000 0.0000 0.0000 1
Th2 Th 0.0000 0.0000 0.5000 1
Th3 Th 0.5000 0.0000 0.5000 1
Th4 Th 0.5000 0.0000 0.0000 1
Se1 Se 0.2436 0.7412 0.9976 1
Se2 Se 0.7564 0.2588 0.5129 1
Se3 Se 0.2436 0.7412 0.4871 1
Se4 Se 0.7564 0.2588 0.0024 1
Se5 Se 0.2460 0.2588 0.0024 1
Se6 Se 0.2513 0.2540 0.5026 1
Se7 Se 0.7487 0.7460 0.4974 1
Se8 Se 0.7540 0.7412 0.9976 1

***

> The highest total magnetization belongs to which entry?

Ce3ErTh4Se8

***

> Which of these has the highest formation energy from raw total energies?

Rb2ScAsI6

***

Repeat the first record exactly.
# Rb2ScAsI6 (GGA-PBE, optimized geometry)
# Crystal system   tetragonal
# Formation energy from raw total energies   -20.4 kcal/mol of atoms
# Total magnetization   0.000 μB/cell
data_Rb2ScAsI6
_cell_length_a 8.1527
_cell_length_b 8.1527
_cell_length_c 8.8934
_cell_angle_alpha 62.72
_cell_angle_beta 62.72
_cell_angle_gamma 90.00
_space_group_name_H-M_alt 'P 1'
_space_group_IT_number 1
_space_group_name_Hall 'P 1'
loop_
_atom_site_label
_atom_site_type_symbol
_atom_site_fract_x
_atom_site_fract_y
_atom_site_fract_z
_atom_site_occupancy
I1 I 0.2479 0.2479 0.0000 1
I2 I 0.7521 0.2479 0.0000 1
I3 I 0.7138 0.7138 0.5723 1
I4 I 0.2479 0.7521 0.0000 1
I5 I 0.2862 0.2862 0.4277 1
I6 I 0.7521 0.7521 0.0000 1
Rb1 Rb 0.7500 0.2500 0.5000 1
Rb2 Rb 0.2500 0.7500 0.5000 1
Sc1 Sc 0.5000 0.5000 0.0000 1
As1 As 0.0000 0.0000 0.0000 1